[1]
A relaxed structure of RbGaTc2F. Source: the Alexandria database, functional GGA-PBE.

Geometry as extended XYZ:
```
5
Lattice="5.181 0.000 0.000 0.000 5.181 0.000 0.000 0.000 6.241" Properties=species:S:1:pos:R:3 pbc="T T T"
Ga 0.000 0.000 3.121
Tc 0.000 2.591 0.000
Tc 2.591 0.000 0.000
Rb 0.000 0.000 0.000
F 2.591 2.591 3.121
```

- Total DFT energy (no corrections): -14.5 eV per formula unit
- Total magnetization: 6.54 μB/cell



[2]
A relaxed structure of RbGa2TcF. Source: the Alexandria database, functional GGA-PBE.

Geometry as extended XYZ:
```
5
Lattice="5.302 0.000 0.000 0.000 4.236 0.000 0.000 0.000 5.302" Properties=species:S:1:pos:R:3 pbc="T T T"
Ga 0.000 0.000 2.651
Ga 2.651 0.000 0.000
Tc 0.000 2.118 0.000
Rb 2.651 2.118 2.651
F 0.000 0.000 0.000
```

- Total DFT energy (no corrections): -17.6 eV per formula unit
- Total magnetization: 1.83 μB/cell



[3]
A relaxed structure of Rb2GaTcF6. Source: the Alexandria database, functional GGA-PBE.

Geometry as extended XYZ:
```
10
Lattice="6.390 0.000 0.000 0.000 6.390 0.000 3.195 3.195 4.529" Properties=species:S:1:pos:R:3 pbc="T T T"
Ga 3.195 3.195 0.000
Tc 0.000 0.000 0.000
Rb 6.390 3.195 2.264
Rb 3.195 6.390 2.264
F 3.195 3.195 2.448
F 6.390 6.390 2.081
F 1.444 1.444 0.000
F 4.946 4.946 0.000
F 4.946 1.444 0.000
F 1.444 4.946 0.000
```

- Total DFT energy (no corrections): -48.5 eV per formula unit
- Total magnetization: 2.00 μB/cell



[4]
A relaxed structure of Rb2TiGaF6. Source: the Alexandria database, functional GGA-PBE.

Geometry as extended XYZ:
```
20
Lattice="-3.664 5.368 0.732 -5.509 -0.256 3.516 2.218 4.153 9.861" Properties=species:S:1:pos:R:3 pbc="T T T"
Rb -7.111 6.069 7.548
Rb 0.156 3.196 6.560
Rb -4.900 7.095 11.087
Rb -2.054 2.170 3.022
Ti 0.000 0.000 0.000
Ti -3.477 4.633 7.054
Ga -5.055 3.900 4.528
Ga -1.899 5.365 9.580
F -4.297 6.053 5.872
F -5.140 3.485 7.143
F -2.624 3.602 5.538
F -2.657 3.212 8.236
F -1.815 5.780 6.965
F -4.330 5.663 8.570
F -1.808 7.707 9.893
F -2.883 4.429 11.516
F 0.328 4.578 9.467
F -5.147 1.558 4.215
F -4.071 4.836 2.592
F -7.283 4.687 4.642
```

- Total DFT energy (no corrections): -51.7 eV per formula unit
- Total magnetization: 2.00 μB/cell



[5]
A relaxed structure of Rb2TiGaF6. Source: the Alexandria database, functional GGA-PBE.

Geometry as extended XYZ:
```
10
Lattice="6.359 0.000 0.000 0.000 6.359 0.000 3.179 3.179 4.511" Properties=species:S:1:pos:R:3 pbc="T T T"
F 3.179 3.179 2.024
F 6.359 6.359 2.487
F 1.777 1.777 0.000
F 4.581 4.581 0.000
F 4.581 1.777 0.000
F 1.777 4.581 0.000
Ga 0.000 0.000 0.000
Rb 6.359 3.179 2.256
Rb 3.179 6.359 2.256
Ti 3.179 3.179 0.000
```

- Total DFT energy (no corrections): -51.9 eV per formula unit
- Total magnetization: 1.00 μB/cell



[6]
A relaxed structure of RbTiGa2F8. Source: the Alexandria database, functional GGA-PBE.

Geometry as extended XYZ:
```
12
Lattice="-1.762 -1.896 4.635 4.759 -0.431 2.235 0.537 6.448 4.304" Properties=species:S:1:pos:R:3 pbc="T T T"
Rb 0.269 3.224 2.152
Ti 0.000 0.000 0.000
Ga 1.813 4.398 6.955
Ga 1.721 -0.277 4.219
F 3.635 0.152 3.833
F 2.267 -0.624 6.000
F -0.298 -0.846 5.251
F -0.101 3.969 7.341
F 1.267 4.745 5.174
F 3.832 4.967 5.924
F 1.136 1.427 4.210
F 2.399 2.694 6.964
```

- Total DFT energy (no corrections): -63.0 eV per formula unit
- Total magnetization: 1.00 μB/cell